Here is a relaxed CsTmTeO4 crystal from Alexandria. Energies are from PBE.

Values from the calculation:
DFT total energy, eV per atom: -6.116
Crystal system: monoclinic
E_form (uncorrected), eV per atom: -2.07

```
CsTmTeO4
1.0
5.967 0.000 0.000
0.000 6.200 0.000
-1.945 0.000 7.955
Cs Tm Te O
2 2 2 8
Cartesian
0.444 1.550 1.084
3.577 4.650 6.871
0.018 4.650 3.682
4.004 1.550 4.273
1.040 1.550 5.686
2.982 4.650 2.269
-0.281 0.120 5.130
-0.281 2.980 5.130
0.974 4.650 1.726
1.765 1.550 3.920
2.257 4.650 4.035
3.047 1.550 6.229
4.302 3.220 2.825
4.302 6.080 2.825
```